Record 1
{
  "formula": "NdHoInPb",
  "functional": "GGA-PBE",
  "state": "relaxed",
  "polymorph_energy_mev_per_atom": 0.0,
  "formation_enthalpy_0k_ev_per_fu": -1.85,
  "lattice_angstrom": [[5.027, 0.000, 0.000], [0.000, 5.027, 0.000], [-2.514, -2.514, 4.488]],
  "species": ["Nd", "Ho", "Pb", "In"],
  "frac_coords": [[0.500, 0.500, 0.000], [0.000, 0.000, 0.000], [0.750, 0.250, 0.500], [0.250, 0.750, 0.500]]
}

Record 2
{
  "formula": "AlAg2Pt",
  "functional": "GGA-PBE",
  "state": "relaxed",
  "polymorph_energy_mev_per_atom": 93.1,
  "formation_enthalpy_0k_ev_per_fu": -1.04,
  "lattice_angstrom": [[4.824, 0.002, -0.029], [3.944, 2.777, -0.029], [1.181, 0.374, 4.944]],
  "species": ["Ag", "Pt", "Ag", "Al"],
  "frac_coords": [[0.000, 0.000, 0.991], [0.233, 0.233, 0.290], [0.764, 0.764, 0.761], [0.503, 0.503, 0.458]]
}

Record 3
{
  "formula": "AcY5Mg4",
  "functional": "GGA-PBE",
  "state": "relaxed",
  "formation_enthalpy_0k_ev_per_fu": -0.74,
  "lattice_angstrom": [[3.812, 0.000, 0.000], [0.000, 3.812, 0.000], [0.000, 0.000, 20.433]],
  "species": ["Mg", "Y", "Ac", "Y", "Mg", "Y", "Y", "Y", "Mg", "Mg"],
  "frac_coords": [[0.000, 0.000, 0.777], [0.500, 0.500, 0.315], [0.000, 0.000, 0.000], [0.500, 0.500, 0.685], [0.000, 0.000, 0.407], [0.500, 0.500, 0.870], [0.500, 0.500, 0.130], [0.500, 0.500, 0.500], [0.000, 0.000, 0.593], [0.000, 0.000, 0.223]]
}

Record 4
{
  "formula": "FeRh2Br",
  "functional": "GGA-PBE",
  "state": "relaxed",
  "formation_energy_uncorrected_mev_per_atom": 349,
  "polymorph_energy_mev_per_atom": 52.4,
  "lattice_angstrom": [[-3.350, 5.606, 4.931], [-2.530, 3.496, 6.953], [-0.509, 5.547, 5.995]],
  "species": ["Rh", "Fe", "Rh", "Br"],
  "frac_coords": [[0.007, 0.007, 0.007], [0.750, 0.750, 0.750], [0.493, 0.493, 0.493], [0.250, 0.250, 0.250]]
}

Record 5
{
  "formula": "Er2PaTe6",
  "functional": "GGA-PBE",
  "state": "relaxed",
  "formation_energy_uncorrected_mev_per_atom": -941,
  "lattice_angstrom": [[7.229, 0.000, 0.000], [0.000, 7.229, 0.000], [0.000, 0.000, 13.171]],
  "species": ["Te", "Er", "Er", "Te", "Te", "Te", "Te", "Te", "Te", "Er", "Pa", "Er", "Te", "Pa", "Te", "Te", "Te", "Te"],
  "frac_coords": [[0.202, 0.798, 0.837], [0.000, 0.000, 0.667], [0.000, 0.000, 0.333], [0.206, 0.794, 0.500], [0.798, 0.202, 0.163], [0.298, 0.298, 0.663], [0.798, 0.202, 0.837], [0.702, 0.702, 0.663], [0.294, 0.294, 0.000], [0.500, 0.500, 0.833], [0.000, 0.000, 0.000], [0.500, 0.500, 0.167], [0.702, 0.702, 0.337], [0.500, 0.500, 0.500], [0.298, 0.298, 0.337], [0.202, 0.798, 0.163], [0.706, 0.706, 0.000], [0.794, 0.206, 0.500]]
}

Record 6
{
  "formula": "HfMgAg2Pb",
  "functional": "GGA-PBE",
  "state": "relaxed",
  "formation_enthalpy_0k_ev_per_fu": 4.33,
  "lattice_angstrom": [[5.277, 0.000, 0.000], [0.000, 5.578, 0.000], [0.000, 0.000, 5.277]],
  "species": ["Pb", "Ag", "Ag", "Hf", "Mg"],
  "frac_coords": [[0.000, 0.500, 0.000], [0.500, 0.000, 0.000], [0.000, 0.000, 0.500], [0.000, 0.000, 0.000], [0.500, 0.500, 0.500]]
}

For reference, final energy by record: -17.6; -16.5; -43.5; -23.4; -91.9; -16.6 eV/cell.
For reference, M_tot by record: 0.000; 0.000; 0.000; 4.109; 0.000; 0.000 μB per formula unit.